The following is a DFT calculation (PBE) of crystalline La2TlRh at its relaxed geometry.

Cell: 5.9771 5.9771 5.9771 Å, 135.32 135.32 65.03°
Last column: nearest neighbours and their distance in Å.
Sites, in units of the cell vectors:
La (0.0000, 0.0000, 0.0000)  4 Rh 3.21, 4 Tl 3.39, 4 La 3.39
La (0.2500, 0.7500, 0.5000)  4 Tl 3.21, 4 La 3.39, 4 Rh 3.39
Tl (0.7500, 0.2500, 0.5000)  8 La 3.21-3.39, 4 Rh 3.39
Rh (0.5000, 0.5000, 0.0000)  8 La 3.21-3.39, 4 Tl 3.39

Output
- formation energy from the elements (eV/f.u.) = -1.29
- total magnetic moment (μB per formula unit) = 0.00
- density (Mg/m³) = 9.34

=====

The following is a DFT calculation (PBE) of crystalline La2TlRh4 at its relaxed geometry.

Cell: 5.0431 5.0431 7.7739 Å, 71.07 71.07 90.00°
Last column: nearest neighbours and their distance in Å.
Sites, in units of the cell vectors:
Tl (0.0000, 0.0000, 0.0000)  6 Rh 2.52-2.66
Rh (0.1928, 0.1928, 0.6143)  1 La 2.31
Rh (0.8072, 0.8072, 0.3857)  1 La 2.31
Rh (0.0000, 0.5000, 0.0000)  2 Tl 2.52
Rh (0.5000, 0.0000, 0.0000)  2 Tl 2.52
La (0.3603, 0.3603, 0.2794)  1 Rh 2.31
La (0.6397, 0.6397, 0.7206)  1 Rh 2.31

Output
- formation energy from the elements (eV/f.u.) = 0.59
- total magnetic moment (μB per formula unit) = 0.00
- density (Mg/m³) = 8.45

=====

Among the records above, which one has the highest density?
La2TlRh

=====

What did the second record say?
The following is a DFT calculation (PBE) of crystalline La2TlRh4 at its relaxed geometry.

Cell: 5.0431 5.0431 7.7739 Å, 71.07 71.07 90.00°
Last column: nearest neighbours and their distance in Å.
Sites, in units of the cell vectors:
Tl (0.0000, 0.0000, 0.0000)  6 Rh 2.52-2.66
Rh (0.1928, 0.1928, 0.6143)  1 La 2.31
Rh (0.8072, 0.8072, 0.3857)  1 La 2.31
Rh (0.0000, 0.5000, 0.0000)  2 Tl 2.52
Rh (0.5000, 0.0000, 0.0000)  2 Tl 2.52
La (0.3603, 0.3603, 0.2794)  1 Rh 2.31
La (0.6397, 0.6397, 0.7206)  1 Rh 2.31

Output
- formation energy from the elements (eV/f.u.) = 0.59
- total magnetic moment (μB per formula unit) = 0.00
- density (Mg/m³) = 8.45

=====

Look up the formation energy from the elements of the first one.
-1.29 eV/f.u.